Record 1
VASP calculation (GGA-PBE) on TaAs2Au2 after structural relaxation.

## Properties
* M_tot: 2.52 μB per cell
* VASP energy: -4.945 eV/atom

abc: 3.817 3.817 13.228
angles: 90.00 90.00 90.00
Space group I4/mmm (No. 139)
Symmetry-distinct sites (fractional):
Ta  0.000  0.000  0.000 (multiplicity 2)
As  0.000  0.500  0.250 (multiplicity 4)
Au  0.000  0.000  0.401 (multiplicity 4)


Record 2
VASP calculation (GGA-PBE) on TaAs2Au after structural relaxation.

## Properties
* M_tot: 0.00 μB per cell
* VASP energy: -5.730 eV/atom

abc: 6.616 6.616 6.616
angles: 90.00 90.00 90.00
Space group F-43m (No. 216)
Symmetry-distinct sites (fractional):
Ta  0.000  0.000  0.000 (multiplicity 4)
As  0.000  0.000  0.500 (multiplicity 4)
As  0.250  0.250  0.750 (multiplicity 4)
Au  0.250  0.250  0.250 (multiplicity 4)


Record 3
VASP calculation (GGA-PBE) on TaTcAsAu after structural relaxation.

## Properties
* M_tot: 0.03 μB per cell
* VASP energy: -7.187 eV/atom

abc: 6.481 6.481 6.481
angles: 90.00 90.00 90.00
Space group F-43m (No. 216)
Symmetry-distinct sites (fractional):
Ta  0.000  0.000  0.000 (multiplicity 4)
Tc  0.250  0.250  0.750 (multiplicity 4)
As  0.000  0.000  0.500 (multiplicity 4)
Au  0.250  0.250  0.250 (multiplicity 4)


Record 4
VASP calculation (GGA-PBE) on TaTcAsAu after structural relaxation.

## Properties
* M_tot: 0.01 μB per cell
* VASP energy: -7.420 eV/atom

abc: 6.382 6.382 6.382
angles: 90.00 90.00 90.00
Space group F-43m (No. 216)
Symmetry-distinct sites (fractional):
Ta  0.000  0.000  0.000 (multiplicity 4)
Tc  0.000  0.000  0.500 (multiplicity 4)
As  0.250  0.250  0.750 (multiplicity 4)
Au  0.250  0.250  0.250 (multiplicity 4)


Record 5
VASP calculation (GGA-PBE) on TcAs2Au after structural relaxation.

## Properties
* M_tot: 0.64 μB per cell
* VASP energy: -5.128 eV/atom

abc: 6.489 6.489 6.489
angles: 90.00 90.00 90.00
Space group F-43m (No. 216)
Symmetry-distinct sites (fractional):
Tc  0.000  0.000  0.000 (multiplicity 4)
As  0.000  0.000  0.500 (multiplicity 4)
As  0.250  0.250  0.750 (multiplicity 4)
Au  0.250  0.250  0.250 (multiplicity 4)


Record 6
VASP calculation (GGA-PBE) on TcAsAu after structural relaxation.

## Properties
* M_tot: 0.01 μB per cell
* VASP energy: -5.779 eV/atom

abc: 5.944 5.944 5.944
angles: 90.00 90.00 90.00
Space group F-43m (No. 216)
Symmetry-distinct sites (fractional):
Tc  0.000  0.000  0.000 (multiplicity 4)
As  0.250  0.250  0.750 (multiplicity 4)
Au  0.000  0.000  0.500 (multiplicity 4)


Record 7
VASP calculation (GGA-PBE) on TeAsAu after structural relaxation.

## Properties
* VASP energy: -3.265 eV/atom

abc: 6.788 6.788 6.788
angles: 90.00 90.00 90.00
Space group F-43m (No. 216)
Symmetry-distinct sites (fractional):
Te  0.000  0.000  0.000 (multiplicity 4)
As  0.250  0.250  0.750 (multiplicity 4)
Au  0.250  0.250  0.250 (multiplicity 4)


Record 8
VASP calculation (GGA-PBE) on TeAs2Au after structural relaxation.

## Properties
* VASP energy: -3.507 eV/atom

abc: 6.959 6.959 6.959
angles: 90.00 90.00 90.00
Space group F-43m (No. 216)
Symmetry-distinct sites (fractional):
Te  0.000  0.000  0.000 (multiplicity 4)
As  0.000  0.000  0.500 (multiplicity 4)
As  0.250  0.250  0.750 (multiplicity 4)
Au  0.250  0.250  0.250 (multiplicity 4)


> The highest VASP energy belongs to which entry?

TeAsAu


> Among the records above, which one has the highest VASP energy?

TeAsAu


> What is the formula in the eighth record?

TeAs2Au